(1)
Entry from Alexandria: a geometry-optimized ReTc5Os structure (PBE).

```
14
Lattice="-2.924 4.298 4.268 2.924 -4.298 4.268 2.924 4.298 -4.268" Properties=species:S:1:pos:R:3 pbc="T T T"
Re -1.462 2.149 2.134
Re 1.462 2.149 2.134
Tc 1.443 0.000 0.000
Tc 4.404 0.000 0.000
Tc 2.924 -0.282 2.119
Tc 2.924 4.017 -2.119
Tc 2.924 -2.149 4.003
Tc 1.443 4.298 0.000
Tc 1.480 0.000 4.268
Tc 0.000 6.447 0.265
Tc 0.000 0.282 6.387
Tc 0.000 4.580 2.149
Os 2.924 2.149 -0.238
Os 0.000 2.149 4.507
```

Results
For the formation energy, the calculation gives 2.3 eV per formula unit. Its crystal system is orthorhombic.

---

(2)
Entry from Alexandria: a geometry-optimized Nd5Sm5Hg2 structure (PBE).

```
12
Lattice="6.209 -2.782 0.000 6.209 2.782 0.000 -0.027 0.000 11.231" Properties=species:S:1:pos:R:3 pbc="T T T"
Nd 0.000 0.000 0.000
Nd 3.929 0.000 6.038
Nd 5.921 0.000 2.794
Nd 6.470 0.000 8.437
Nd 8.462 0.000 5.193
Sm -0.014 0.000 5.616
Sm 2.268 0.000 2.795
Sm 3.904 0.000 10.795
Sm 8.488 0.000 0.436
Sm 10.124 0.000 8.436
Hg 1.749 0.000 8.414
Hg 10.642 0.000 2.817
```

Results
For the formation energy, the calculation gives -1.4 eV per formula unit. Its crystal system is monoclinic.

---

(3)
Entry from Alexandria: a geometry-optimized MnSiAs2 structure (PBE).

```
4
Lattice="2.746 -3.583 0.000 2.746 3.583 0.000 0.000 0.000 3.398" Properties=species:S:1:pos:R:3 pbc="T T T"
Mn 0.000 0.000 0.000
Si 2.746 0.000 0.000
As 1.373 1.792 1.699
As 1.373 -1.792 1.699
```

Results
Its crystal system is orthorhombic.

---

(4)
Entry from Alexandria: a geometry-optimized ZrMnAg2N structure (PBE).

```
5
Lattice="5.447 0.000 0.000 0.000 5.447 0.000 0.000 0.000 4.766" Properties=species:S:1:pos:R:3 pbc="T T T"
Zr 0.000 0.000 0.000
Mn 0.000 0.000 2.383
Ag 0.000 2.724 0.000
Ag 2.724 0.000 0.000
N 2.724 2.724 2.383
```

Results
Its crystal system is tetragonal.

---

(5)
Entry from Alexandria: a geometry-optimized CaSb4Te structure (PBE).

```
6
Lattice="0.000 4.463 4.463 4.463 0.000 4.463 4.463 4.463 0.000" Properties=species:S:1:pos:R:3 pbc="T T T"
Ca 0.000 0.000 0.000
Sb 5.569 3.357 3.357
Sb 3.357 5.569 3.357
Sb 3.357 3.357 5.569
Sb 5.569 5.569 5.569
Te 2.232 2.232 2.232
```

Results
Its crystal system is cubic.

---

(6)
Entry from Alexandria: a geometry-optimized CsRhN2 structure (PBE).

```
4
Lattice="1.713 0.989 6.806 -1.713 0.989 6.806 0.000 -1.979 6.806" Properties=species:S:1:pos:R:3 pbc="T T T"
Cs 0.000 0.000 0.000
Rh 0.000 0.000 10.208
N 0.000 0.000 2.691
N 0.000 0.000 17.725
```

Results
The calculation puts the energy above the lowest structure with this stoichiometry at 498 meV per atom. Its crystal system is trigonal.

---

(7)
Entry from Alexandria: a geometry-optimized K3PaSb2O9 structure (PBE).

```
15
Lattice="5.848 0.000 0.000 -2.924 5.065 0.000 0.000 0.000 7.202" Properties=species:S:1:pos:R:3 pbc="T T T"
K 0.000 0.000 0.000
K 0.000 3.376 4.847
K 2.924 1.688 2.355
Pa 0.000 0.000 3.601
Sb 0.000 3.376 1.133
Sb 2.924 1.688 6.069
O -1.462 2.532 0.000
O 0.000 1.751 2.321
O -1.407 4.189 2.321
O 1.517 0.876 4.881
O 2.924 0.000 0.000
O 1.462 2.532 0.000
O 1.407 4.189 2.321
O 4.332 0.876 4.881
O 2.924 3.313 4.881
```

Results
Its crystal system is trigonal.

---

(8)
Entry from Alexandria: a geometry-optimized SmZnGe structure (PBE).

```
12
Lattice="4.272 0.000 0.000 -2.136 3.700 0.000 0.000 0.000 16.217" Properties=species:S:1:pos:R:3 pbc="T T T"
Sm 0.000 0.000 0.000
Sm 0.000 0.000 4.054
Sm 0.000 0.000 8.109
Sm 0.000 0.000 12.163
Zn 0.000 2.467 2.326
Zn 0.000 2.467 5.782
Zn 2.136 1.233 10.435
Zn 2.136 1.233 13.891
Ge 0.000 2.467 9.982
Ge 0.000 2.467 14.344
Ge 2.136 1.233 1.874
Ge 2.136 1.233 6.235
```

Results
For the formation energy, the calculation gives -2.1 eV per formula unit. Its crystal system is hexagonal.

---

(9)
Entry from Alexandria: a geometry-optimized Tc2IrN structure (PBE).

```
4
Lattice="1.379 0.796 7.425 -1.379 0.796 7.425 0.000 -1.592 7.425" Properties=species:S:1:pos:R:3 pbc="T T T"
Tc 0.000 0.000 5.167
Tc 0.000 0.000 17.108
Ir 0.000 0.000 0.000
N 0.000 0.000 11.138
```

Results
Its crystal system is trigonal.

---

(10)
Entry from Alexandria: a geometry-optimized K4H structure (PBE).

```
5
Lattice="6.256 0.000 0.000 0.000 6.256 0.000 0.000 0.000 6.256" Properties=species:S:1:pos:R:3 pbc="T T T"
K 0.000 0.000 0.000
K 0.000 3.128 3.128
K 3.128 0.000 3.128
K 3.128 3.128 0.000
H 3.128 3.128 3.128
```

Results
The calculation puts the energy above the lowest structure with this stoichiometry at 50 meV per atom. Its crystal system is cubic.

---

(11)
Entry from Alexandria: a geometry-optimized Sr2TlVS structure (PBE).

```
5
Lattice="6.273 0.000 0.000 0.000 6.273 0.000 0.000 0.000 5.282" Properties=species:S:1:pos:R:3 pbc="T T T"
Sr 0.000 3.136 0.000
Sr 3.136 0.000 0.000
Tl 0.000 0.000 0.000
V 3.136 3.136 2.641
S 0.000 0.000 2.641
```

Results
The calculation puts the energy above the lowest structure with this stoichiometry at 1464 meV per atom. Its crystal system is tetragonal.

---

Total moment values, unit μB per formula unit, following the record order: 0.000; 0.000; 3.385; 0.092; 0.000; 0.000; 0.000; 0.000; 0.000; 0.372; 0.211.
Final energy values, unit eV per atom, following the record order: -10.46; -4.12; -5.66; -4.10; -3.71; -5.26; -6.47; -4.23; -9.38; -1.51; -2.84.